*w*
Material: TbAl2Zn6
Method: DFT, PBE
State: optimized geometry

Cell lengths 8.2821, 8.2820, 8.2821 Å; angles 60.00, 60.00, 60.00 degrees
Fractional positions:
Zn  0.5007  0.9993  0.5007
Al  0.1250  0.1250  0.6250
Zn  0.5007  0.5007  0.9993
Zn  0.2507  0.7493  0.7493
Zn  0.7493  0.2507  0.7493
Tb  0.7500  0.7500  0.7500
Al  0.1250  0.6250  0.1250
Al  0.1250  0.1250  0.1250
Tb  0.5000  0.5000  0.5000
Zn  0.5007  0.9993  0.9993
Zn  0.2507  0.7493  0.2507
Al  0.6250  0.1250  0.1250
Zn  0.9993  0.5007  0.9993
Zn  0.7493  0.7493  0.2507
Zn  0.9993  0.9993  0.5007
Zn  0.9993  0.5007  0.5007
Zn  0.2507  0.2507  0.7493
Zn  0.7493  0.2507  0.2507

Computed properties:
* magnetic moment: 0.0 Bohr magnetons per cell
* calculated volume: 401.7 Å³/cell
* space-group type: No. 227

---

*x*
Material: TbAl2Zn6
Method: DFT, PBE
State: optimized geometry

Cell lengths 3.6861, 7.1660, 7.3808 Å; angles 119.04, 104.46, 90.00 degrees
Fractional positions:
Zn  0.5000  0.8277  0.0000
Tb  0.0000  0.5000  0.0000
Al  0.8758  0.8758  0.7516
Zn  0.6843  0.8663  0.3686
Zn  0.5000  0.1723  0.0000
Zn  0.3157  0.1337  0.6314
Al  0.1242  0.1242  0.2484
Zn  0.3157  0.4977  0.6314
Zn  0.6843  0.5023  0.3686

Computed properties:
* magnetic moment: 0.0 Bohr magnetons per cell
* calculated volume: 163.3 Å³/cell
* space-group type: No. 71

---

*x* is the most stable structure; the next one sits 417 meV/atom above it.

---

*w*
Material: TbAl2Zn9
Method: DFT, PBE
State: optimized geometry

Cell lengths 7.0273, 8.2567, 8.2567 Å; angles 79.57, 64.81, 64.81 degrees
Fractional positions:
Zn  0.1582  0.4151  0.1740
Tb  0.5000  0.0000  0.0000
Al  0.3750  0.7500  0.7500
Zn  0.6678  0.5849  0.1740
Zn  0.7473  0.8260  0.5849
Zn  0.0027  0.9151  0.6740
Zn  0.5918  0.0849  0.3260
Zn  0.0027  0.6740  0.9151
Tb  0.2500  0.5000  0.5000
Zn  0.5918  0.3260  0.0849
Zn  0.4267  0.8260  0.4151
Al  0.8750  0.7500  0.2500
Zn  0.7473  0.5849  0.8260
Al  0.8750  0.2500  0.2500
Zn  0.7500  0.5000  0.5000
Zn  0.4267  0.4151  0.8260
Zn  0.0822  0.3260  0.9151
Zn  0.0000  0.0000  0.0000
Al  0.8750  0.2500  0.7500
Zn  0.0822  0.9151  0.3260
Zn  0.3233  0.0849  0.6740
Zn  0.3233  0.6740  0.0849
Zn  0.1582  0.1740  0.4151
Zn  0.6678  0.1740  0.5849

Computed properties:
* magnetic moment: 0.0 Bohr magnetons per cell
* calculated volume: 392.3 Å³/cell
* space-group type: No. 141

---

*x*
Material: TbAl2Zn9
Method: DFT, PBE
State: optimized geometry

Cell lengths 3.2698, 8.5821, 8.5821 Å; angles 120.00, 90.00, 90.00 degrees
Fractional positions:
Zn  0.0000  0.5000  0.5000
Zn  0.5000  0.1813  0.3627
Tb  0.0000  0.0000  0.0000
Zn  0.0000  0.5000  0.0000
Al  0.0000  0.3333  0.6667
Zn  0.5000  0.6373  0.8187
Zn  0.0000  0.0000  0.5000
Zn  0.5000  0.8187  0.1813
Al  0.0000  0.6667  0.3333
Zn  0.5000  0.1813  0.8187
Zn  0.5000  0.8187  0.6373
Zn  0.5000  0.3627  0.1813

Computed properties:
* magnetic moment: 0.0 Bohr magnetons per cell
* calculated volume: 208.6 Å³/cell
* space-group type: No. 191

---

*w* is the most stable structure; the next one sits 122 meV/atom above it.

---

*w*
Material: TbZrAl2
Method: DFT, PBE
State: optimized geometry

Cell lengths 4.0913, 4.5675, 4.5675 Å; angles 90.00, 90.00, 90.00 degrees
Fractional positions:
Zr  0.5000  0.0000  0.0000
Tb  0.5000  0.5000  0.5000
Al  0.0000  0.0000  0.5000
Al  0.0000  0.5000  0.0000

Computed properties:
* magnetic moment: 0.0 Bohr magnetons per cell
* calculated volume: 85.4 Å³/cell
* space-group type: No. 123

---

*x*
Material: TbZrAl2
Method: DFT, PBE
State: optimized geometry

Cell lengths 3.4397, 3.4397, 9.1938 Å; angles 79.22, 79.22, 60.00 degrees
Fractional positions:
Al  0.7455  0.7455  0.7635
Tb  0.5000  0.5000  0.5000
Al  0.2545  0.2545  0.2365
Zr  0.0000  0.0000  0.0000

Computed properties:
* magnetic moment: 0.0 Bohr magnetons per cell
* calculated volume: 92.0 Å³/cell
* space-group type: No. 166

---

*y*
Material: TbZrAl2
Method: DFT, PBE
State: optimized geometry

Cell lengths 4.9488, 4.9488, 4.9488 Å; angles 60.00, 60.00, 60.00 degrees
Fractional positions:
Zr  0.5000  0.5000  0.5000
Tb  0.0000  0.0000  0.0000
Al  0.2500  0.2500  0.2500
Al  0.7500  0.7500  0.7500

Computed properties:
* magnetic moment: 0.0 Bohr magnetons per cell
* calculated volume: 85.7 Å³/cell
* space-group type: No. 225

---

*w* is the most stable structure; the next one sits 27 meV/atom above it.

---

*w*
Material: Al5Tc
Method: DFT, PBE
State: optimized geometry

Cell lengths 7.2957, 7.2957, 4.4063 Å; angles 90.00, 90.00, 156.59 degrees
Site moments in Bohr magnetons follow the coordinates.
Fractional positions:
Tc  0.1087  0.8913  0.5000  0.52
Al  0.6622  0.3378  0.0000  0.00
Al  0.3365  0.6635  0.0000  0.00
Al  0.0025  0.9975  0.0000  0.00
Al  0.7693  0.2307  0.5000  0.00
Al  0.4541  0.5459  0.5000  0.00

Computed properties:
* magnetic moment: 0.6 Bohr magnetons per cell
* calculated volume: 93.2 Å³/cell
* space-group type: No. 38

---

*x*
Material: Al5Tc
Method: DFT, PBE
State: optimized geometry

Cell lengths 4.9137, 4.9137, 4.6877 Å; angles 90.00, 90.00, 120.00 degrees
Fractional positions:
Al  0.3333  0.6667  0.0000
Tc  0.0000  0.0000  0.0000
Al  0.5000  0.5000  0.5000
Al  0.6667  0.3333  0.0000
Al  0.0000  0.5000  0.5000
Al  0.5000  0.0000  0.5000

Computed properties:
* magnetic moment: 0.0 Bohr magnetons per cell
* calculated volume: 98.0 Å³/cell
* space-group type: No. 191

---

*y*
Material: Al5Tc
Method: DFT, PBE
State: optimized geometry

Cell lengths 4.7400, 4.7400, 4.6464 Å; angles 90.00, 90.00, 120.00 degrees
Fractional positions:
Al  0.0154  0.0000  0.0000
Al  0.6667  0.6667  0.5000
Al  0.6513  0.3179  0.0000
Al  0.0000  0.3333  0.5000
Al  0.3333  0.6821  0.0000
Tc  0.3333  0.0000  0.5000

Computed properties:
* magnetic moment: 0.0 Bohr magnetons per cell
* calculated volume: 90.4 Å³/cell
* space-group type: No. 189

---

*z*
Material: Al5Tc
Method: DFT, PBE
State: optimized geometry

Cell lengths 3.3002, 5.0788, 12.7757 Å; angles 90.00, 90.00, 109.04 degrees
Fractional positions:
Al  0.7878  0.5746  0.5765
Al  0.6226  0.2460  0.2500
Tc  0.3432  0.6866  0.2500
Al  0.9375  0.8741  0.3893
Al  0.0625  0.1259  0.6107
Al  0.9375  0.8741  0.1107
Al  0.7878  0.5746  0.9235
Al  0.2122  0.4254  0.4235
Al  0.3774  0.7540  0.7500
Tc  0.6568  0.3134  0.7500
Al  0.2122  0.4254  0.0765
Al  0.0625  0.1259  0.8893

Computed properties:
* magnetic moment: 0.0 Bohr magnetons per cell
* calculated volume: 202.4 Å³/cell
* space-group type: No. 63

---

*y* is the most stable structure; the next one sits 88 meV/atom above it.